# 1
## Zr2ZnAs (GGA-PBE)

Data for a relaxed Zr2ZnAs crystal.

Lattice parameters (Å, degrees): 3.873 5.475 5.475 40.62 90.00 90.00
Fractional positions:
Zr1 0.000 0.000 0.000
Zr2 0.500 0.294 0.294
Zn1 0.000 0.734 0.734
As1 0.500 0.569 0.569

Crystal system: orthorhombic
M_tot in μB/f.u.: 0.00
Energy of formation in eV/atom: -0.723
Energy in eV for the cell shown: -25.9
Symmetry: No. 38
D(E_F) in states/eV per cell: 2.59

***

# 2
## CdCo4Pt (GGA-PBE)

Data for a relaxed CdCo4Pt crystal.

Lattice parameters (Å, degrees): 4.830 4.830 4.830 60.00 60.00 60.00
Fractional positions:
Cd1 0.000 0.000 0.000
Co1 0.375 0.375 0.375
Co2 0.375 0.375 0.874
Co3 0.375 0.874 0.375
Co4 0.874 0.375 0.375
Pt1 0.750 0.750 0.750

Crystal system: cubic
M_tot in μB/f.u.: 7.17
Energy of formation in eV/atom: 0.108
Energy in eV for the cell shown: -34.7
Symmetry: No. 216
D(E_F) in states/eV per cell: 9.04

***

# 3
## CsK2InF6 (GGA-PBE)

Data for a relaxed CsK2InF6 crystal.

Lattice parameters (Å, degrees): 6.884 6.884 6.884 60.00 60.00 60.00
Fractional positions:
Cs1 0.000 0.000 0.000
K1 0.250 0.250 0.250
K2 0.750 0.750 0.750
In1 0.500 0.500 0.500
F1 0.284 0.284 0.716
F2 0.284 0.716 0.284
F3 0.284 0.716 0.716
F4 0.716 0.284 0.284
F5 0.716 0.284 0.716
F6 0.716 0.716 0.284

Crystal system: cubic
M_tot in μB/f.u.: 0.00
Energy in eV for the cell shown: -43.3
Symmetry: No. 225
D(E_F) in states/eV per cell: 0.00

***

# 4
## CaAuI2N (GGA-PBE)

Data for a relaxed CaAuI2N crystal.

Lattice parameters (Å, degrees): 6.160 6.160 3.859 90.00 90.00 90.00
Fractional positions:
Ca1 0.000 0.000 0.000
Au1 0.500 0.500 0.500
I1 0.000 0.500 0.500
I2 0.500 0.000 0.500
N1 0.500 0.500 0.000

Energy relative to the lowest polymorph listed for this composition in eV per atom: 0.000
Crystal system: tetragonal
M_tot in μB/f.u.: 0.00
Energy in eV for the cell shown: -15.8
Symmetry: No. 123
D(E_F) in states/eV per cell: 3.56

***

- Among the records above, which one has the lowest D(E_F)?
  CsK2InF6